# BeGaF, relaxed, DFT PBE
data_BeGaF
_cell_length_a 2.709
_cell_length_b 4.018
_cell_length_c 8.498
_cell_angle_alpha 89.66
_cell_angle_beta 83.85
_cell_angle_gamma 90.00
_space_group_name_H-M_alt 'P 1'
_space_group_IT_number 1
_space_group_name_Hall 'P 1'
loop_
_atom_site_label
_atom_site_type_symbol
_atom_site_fract_x
_atom_site_fract_y
_atom_site_fract_z
Be1 Be 0.000 0.000 0.000
Be2 Be 0.078 0.590 0.770
Ga1 Ga 0.603 0.099 0.695
Ga2 Ga 0.672 0.602 0.483
F1 F 0.013 0.621 0.962
F2 F 0.472 0.087 0.084
# * size of the total moment: 0.0 μB/f.u.
# * formation energy from raw total energies: -1.2900 eV per atom